Entry 1:
K2BaHgBr6, optimized geometry, DFT PBE; N(E_F) = 0.0 states/eV per cell; E = -2.89 eV/atom; formation energy without anion corrections = -1.443 eV/atom
1.0
-7.580 -0.794 2.730
-1.336 -1.686 7.806
-3.166 5.926 4.937
Hg Br K Ba
1 6 2 1
direct
0.319 0.319 0.044
0.574 0.195 0.254
0.195 0.977 0.254
0.671 0.114 0.777
0.438 0.671 0.777
0.977 0.574 0.254
0.114 0.438 0.777
0.028 0.028 0.917
0.530 0.530 0.409
0.815 0.815 0.553

=====

Entry 2:
BaLi2HgBr6, optimized geometry, DFT PBE; N(E_F) = 0.0 states/eV per cell; E = -2.97 eV/atom; formation energy without anion corrections = -1.359 eV/atom
1.0
-1.151 -4.098 7.206
8.099 -3.937 2.635
2.616 5.508 7.131
Li Br Hg Ba
4 12 2 2
direct
0.218 0.359 0.284
0.782 0.641 0.716
0.718 0.284 0.359
0.282 0.716 0.641
0.946 0.404 0.874
0.054 0.596 0.126
0.662 0.819 0.938
0.554 0.126 0.596
0.338 0.181 0.062
0.162 0.938 0.819
0.971 0.258 0.470
0.471 0.470 0.258
0.029 0.742 0.530
0.446 0.874 0.404
0.529 0.530 0.742
0.838 0.062 0.181
0.750 0.783 0.217
0.250 0.217 0.783
0.250 0.832 0.168
0.750 0.168 0.832

=====

Entry 3:
BaMgHg2Br, optimized geometry, DFT PBE; N(E_F) = 3.1 states/eV per cell; E = -1.73 eV/atom; formation energy without anion corrections = -0.568 eV/atom
1.0
-2.876 -3.533 -3.010
1.681 -4.154 3.268
-4.336 0.783 3.225
Ba Mg Br Hg
1 1 1 2
direct
0.500 0.500 0.500
0.000 0.000 0.000
0.000 0.500 0.000
0.000 0.000 0.500
0.500 0.000 0.000

=====

Entry 4:
Ba6Hg2BrN, optimized geometry, DFT PBE; N(E_F) = 18.7 states/eV per cell; E = -2.87 eV/atom; formation energy without anion corrections = -0.652 eV/atom
1.0
-2.083 -6.149 -4.612
6.153 2.194 -5.704
7.651 -6.842 5.621
Hg Ba N Br
4 12 2 2
direct
0.536 0.587 0.745
0.464 0.413 0.255
0.964 0.087 0.755
0.036 0.913 0.245
0.790 0.830 0.555
0.389 0.968 0.726
0.661 0.280 0.556
0.889 0.532 0.226
0.710 0.330 0.945
0.839 0.780 0.944
0.339 0.720 0.444
0.210 0.170 0.445
0.111 0.468 0.774
0.611 0.032 0.274
0.161 0.220 0.056
0.290 0.670 0.055
0.000 0.500 0.000
0.500 0.000 0.500
0.500 0.000 0.000
0.000 0.500 0.500

=====

What did the third record say?
BaMgHg2Br, optimized geometry, DFT PBE; N(E_F) = 3.1 states/eV per cell; E = -1.73 eV/atom; formation energy without anion corrections = -0.568 eV/atom
1.0
-2.876 -3.533 -3.010
1.681 -4.154 3.268
-4.336 0.783 3.225
Ba Mg Br Hg
1 1 1 2
direct
0.500 0.500 0.500
0.000 0.000 0.000
0.000 0.500 0.000
0.000 0.000 0.500
0.500 0.000 0.000